Record 1
! Li2ZnCu5Ni2, relaxed, DFT PBE; values from VASP
! E = -73.93 eV/cell
! Formation energy = 0.018 eV/atom
&SYSTEM
  ibrav = 0, nat = 20, ntyp = 4
/
ATOMIC_SPECIES
Li 6.94 Li.upf
Zn 65.41 Zn.upf
Cu 63.55 Cu.upf
Ni 58.69 Ni.upf
CELL_PARAMETERS angstrom
8.092 0.000 0.000
0.000 8.092 0.000
0.000 0.000 3.931
ATOMIC_POSITIONS crystal
Li 0.175 0.325 0.000
Li 0.325 0.825 0.000
Li 0.675 0.175 0.000
Li 0.825 0.675 0.000
Zn 0.000 0.000 0.000
Zn 0.500 0.500 0.000
Cu 0.000 0.500 0.500
Cu 0.076 0.798 0.500
Cu 0.202 0.076 0.500
Cu 0.298 0.576 0.500
Cu 0.424 0.298 0.500
Cu 0.500 0.000 0.500
Cu 0.576 0.702 0.500
Cu 0.702 0.424 0.500
Cu 0.798 0.924 0.500
Cu 0.924 0.202 0.500
Ni 0.119 0.619 0.000
Ni 0.381 0.119 0.000
Ni 0.619 0.881 0.000
Ni 0.881 0.381 0.000

Record 2
! LiZnCu6Ni2, relaxed, DFT PBE; values from VASP
! E = -77.98 eV/cell
! Formation energy = 0.034 eV/atom
&SYSTEM
  ibrav = 0, nat = 20, ntyp = 4
/
ATOMIC_SPECIES
Li 6.94 Li.upf
Zn 65.41 Zn.upf
Cu 63.55 Cu.upf
Ni 58.69 Ni.upf
CELL_PARAMETERS angstrom
6.293 0.000 0.000
0.000 6.294 0.000
-5.519 0.000 6.391
ATOMIC_POSITIONS crystal
Li 0.000 0.000 0.000
Li 0.000 0.500 0.500
Zn 0.500 0.000 0.000
Zn 0.500 0.500 0.500
Cu 0.118 0.120 0.639
Cu 0.118 0.380 0.139
Cu 0.165 0.729 0.783
Cu 0.165 0.771 0.283
Cu 0.445 0.675 0.187
Cu 0.445 0.825 0.687
Cu 0.555 0.175 0.313
Cu 0.555 0.325 0.813
Cu 0.835 0.229 0.717
Cu 0.835 0.271 0.217
Cu 0.882 0.620 0.861
Cu 0.882 0.880 0.361
Ni 0.315 0.131 0.457
Ni 0.315 0.369 0.957
Ni 0.685 0.631 0.043
Ni 0.685 0.869 0.543

Record 3
! Li2Zn5CuNi2, relaxed, DFT PBE; values from VASP
! E = -54.59 eV/cell
! Formation energy = -0.144 eV/atom
&SYSTEM
  ibrav = 0, nat = 20, ntyp = 4
/
ATOMIC_SPECIES
Li 6.94 Li.upf
Zn 65.41 Zn.upf
Cu 63.55 Cu.upf
Ni 58.69 Ni.upf
CELL_PARAMETERS angstrom
10.378 0.000 0.000
0.000 10.378 0.000
0.000 0.000 2.759
ATOMIC_POSITIONS crystal
Li 0.178 0.322 0.000
Li 0.322 0.822 0.000
Li 0.678 0.178 0.000
Li 0.822 0.678 0.000
Zn 0.000 0.500 0.500
Zn 0.055 0.808 0.500
Zn 0.192 0.055 0.500
Zn 0.308 0.555 0.500
Zn 0.445 0.308 0.500
Zn 0.500 0.000 0.500
Zn 0.555 0.692 0.500
Zn 0.692 0.445 0.500
Zn 0.808 0.945 0.500
Zn 0.945 0.192 0.500
Cu 0.000 0.000 0.000
Cu 0.500 0.500 0.000
Ni 0.135 0.635 0.000
Ni 0.365 0.135 0.000
Ni 0.635 0.865 0.000
Ni 0.865 0.365 0.000